Material: CrPO3
Method: DFT, PBE with a Hubbard U
State: relaxed

Unit cell a=3.7088 b=3.7088 c=3.7088 alpha=90.00 beta=90.00 gamma=90.00
Closest atoms and distances in Å follow each position.
Fractional coordinates of all 5 atoms:
Cr 0.0000 0.0000 0.0000  6 O 1.85
O 0.0000 0.5000 0.0000  2 Cr 1.85
O 0.0000 0.0000 0.5000  2 Cr 1.85
O 0.5000 0.0000 0.0000  2 Cr 1.85
P 0.5000 0.5000 0.5000  12 O 2.62

Computed properties:
density	4.3	Mg/m³
DFT total energy	-5.6701	eV per atom
crystal system	cubic